(1)
DFT (PBE) results for crystalline Hf2Zr6Pb at its relaxed geometry.

E, eV/f.u.: -71.707
Energy of formation, eV per atom: 0.3552

Cell lengths 8.165, 8.165, 8.165 Å; angles 143.56, 136.17, 58.27 degrees
Element x y z (fractional)
Hf 0.110 0.110 0.000
Hf 0.890 0.890 0.000
Zr 0.050 0.300 0.749
Zr 0.239 0.500 0.739
Zr 0.449 0.700 0.749
Zr 0.551 0.300 0.251
Zr 0.761 0.500 0.261
Zr 0.950 0.700 0.251
Pb 0.500 0.000 0.500

(2)
DFT (PBE) results for crystalline Ce2ErSn at its relaxed geometry.

E, eV/f.u.: -19.853
Distance to the lowest polymorph of the same formula, kcal/mol of atoms: 12.54
Energy of formation, eV per atom: 0.1451

Cell lengths 3.376, 3.376, 36.580 Å; angles 90.00, 90.00, 120.00 degrees
Element x y z (fractional)
Ce 0.000 0.000 0.088
Ce 0.000 0.000 0.912
Ce 0.333 0.667 0.579
Ce 0.333 0.667 0.754
Ce 0.667 0.333 0.246
Ce 0.667 0.333 0.421
Er 0.000 0.000 0.500
Er 0.333 0.667 0.167
Er 0.667 0.333 0.833
Sn 0.000 0.000 0.000
Sn 0.333 0.667 0.667
Sn 0.667 0.333 0.333

(3)
DFT (PBE) results for crystalline NaRe4Se8 at its relaxed geometry.

E, eV/f.u.: -80.384
Formation energy from raw total energies, eV/atom: -0.11

Cell lengths 9.216, 9.216, 9.216 Å; angles 40.67, 40.67, 40.67 degrees
Element x y z (fractional)
Na 0.000 0.000 0.000
Re 0.000 0.000 0.500
Re 0.000 0.500 0.000
Re 0.500 0.000 0.000
Re 0.500 0.500 0.500
Se 0.237 0.237 0.237
Se 0.237 0.736 0.736
Se 0.264 0.264 0.763
Se 0.264 0.763 0.264
Se 0.736 0.237 0.736
Se 0.736 0.736 0.237
Se 0.763 0.264 0.264
Se 0.763 0.763 0.763

(4)
DFT (PBE) results for crystalline Pa4Sb3N2 at its relaxed geometry.

E, eV/f.u.: -76.088
Formation energy from raw total energies, eV/atom: -1.01

Cell lengths 6.948, 6.948, 8.916 Å; angles 117.73, 117.73, 33.48 degrees
Element x y z (fractional)
Pa 0.118 0.118 0.407
Pa 0.304 0.304 0.881
Pa 0.696 0.696 0.119
Pa 0.882 0.882 0.593
Sb 0.000 0.000 0.000
Sb 0.399 0.399 0.297
Sb 0.601 0.601 0.703
N 0.301 0.301 0.627
N 0.699 0.699 0.373

(5)
DFT (PBE) results for crystalline Ce4SbRh12 at its relaxed geometry.

E, eV/f.u.: -126.623
Formation energy from raw total energies, eV/atom: -0.62

Cell lengths 7.310, 7.310, 7.310 Å; angles 109.47, 109.47, 109.47 degrees
Element x y z (fractional)
Ce 0.000 0.000 0.500
Ce 0.000 0.500 0.000
Ce 0.500 0.000 0.000
Ce 0.500 0.500 0.500
Sb 0.000 0.000 0.000
Rh 0.000 0.300 0.300
Rh 0.000 0.700 0.700
Rh 0.250 0.500 0.750
Rh 0.250 0.750 0.500
Rh 0.300 0.000 0.300
Rh 0.300 0.300 0.000
Rh 0.500 0.250 0.750
Rh 0.500 0.750 0.250
Rh 0.700 0.000 0.700
Rh 0.700 0.700 0.000
Rh 0.750 0.250 0.500
Rh 0.750 0.500 0.250

(6)
DFT (PBE) results for crystalline Y6GeO12 at its relaxed geometry.

E, eV/f.u.: -159.803
Formation energy from raw total energies, eV/atom: -2.99

Cell lengths 6.456, 6.456, 6.456 Å; angles 98.82, 98.82, 98.82 degrees
Element x y z (fractional)
Y 0.109 0.793 0.637
Y 0.207 0.363 0.891
Y 0.363 0.891 0.207
Y 0.637 0.109 0.793
Y 0.793 0.637 0.109
Y 0.891 0.207 0.363
Ge 0.500 0.500 0.500
O 0.058 0.912 0.322
O 0.088 0.678 0.942
O 0.203 0.435 0.539
O 0.322 0.058 0.912
O 0.435 0.539 0.203
O 0.461 0.797 0.565
O 0.539 0.203 0.435
O 0.565 0.461 0.797
O 0.678 0.942 0.088
O 0.797 0.565 0.461
O 0.912 0.322 0.058
O 0.942 0.088 0.678

> Among the records above, which one has the lowest E?

Y6GeO12

> Look up the E of the third one.

-80.384 eV/f.u.

> What is the formula in the first record?

Hf2Zr6Pb

Repeat the sixth record exactly.
DFT (PBE) results for crystalline Y6GeO12 at its relaxed geometry.

E, eV/f.u.: -159.803
Formation energy from raw total energies, eV/atom: -2.99

Cell lengths 6.456, 6.456, 6.456 Å; angles 98.82, 98.82, 98.82 degrees
Element x y z (fractional)
Y 0.109 0.793 0.637
Y 0.207 0.363 0.891
Y 0.363 0.891 0.207
Y 0.637 0.109 0.793
Y 0.793 0.637 0.109
Y 0.891 0.207 0.363
Ge 0.500 0.500 0.500
O 0.058 0.912 0.322
O 0.088 0.678 0.942
O 0.203 0.435 0.539
O 0.322 0.058 0.912
O 0.435 0.539 0.203
O 0.461 0.797 0.565
O 0.539 0.203 0.435
O 0.565 0.461 0.797
O 0.678 0.942 0.088
O 0.797 0.565 0.461
O 0.912 0.322 0.058
O 0.942 0.088 0.678